Model one:
MnPd2Pt8 | PBE-GGA | relaxed

Cell lengths 14.274, 3.935, 6.255 Å; angles 90.00, 105.14, 90.00 degrees
Space group C2/m (No. 12)
Asymmetric unit:
Mn: 0.000 0.000 0.000
Pd: 0.224 0.500 0.633
Pt: 0.045 0.500 0.728
Pt: 0.090 0.000 0.441
Pt: 0.133 0.500 0.175
Pt: 0.180 0.000 0.912

Properties
Spin magnetization ... 0.431 μB per atom

Model two:
MnPd2Pt8 | PBE-GGA | relaxed

Cell lengths 11.731, 6.906, 4.750 Å; angles 90.00, 105.17, 90.00 degrees
Space group C2/m (No. 12)
Asymmetric unit:
Mn: 0.000 0.000 0.000
Pd: 0.123 0.000 0.498
Pt: 0.071 0.302 0.805
Pt: 0.140 0.500 0.351
Pt: 0.226 0.000 0.060

Properties
Spin magnetization ... 0.280 μB per atom

Which structure loses on stability? model two does.

Model one:
Rb2MnPd | PBE-GGA | relaxed

Cell lengths 12.771, 12.771, 4.978 Å; angles 90.00, 90.00, 90.00 degrees
Space group I-42d (No. 122)
Asymmetric unit:
Rb: 0.074 0.250 0.125
Mn: 0.000 0.000 0.500
Pd: 0.000 0.000 0.000

Properties
Spin magnetization ... 1.228 μB per atom

Model two:
Rb2MnPd | PBE-GGA | relaxed

Cell lengths 8.332, 8.332, 8.332 Å; angles 90.00, 90.00, 90.00 degrees
Space group Fm-3m (No. 225)
Asymmetric unit:
Rb: 0.250 0.250 0.250
Mn: 0.000 0.000 0.000
Pd: 0.000 0.000 0.500

Properties
Spin magnetization ... 1.247 μB per atom

Which structure loses on stability? model two does.

Model one:
RbMnPd | PBE-GGA | relaxed

Cell lengths 3.148, 6.747, 8.132 Å; angles 107.71, 90.05, 102.56 degrees
Space group P-1 (No. 2)
Asymmetric unit:
Rb: 0.024 0.033 0.272
Mn: 0.258 0.516 0.879
Pd: 0.281 0.565 0.381

Properties
Spin magnetization ... 0.000 μB per atom

Model two:
RbMnPd | PBE-GGA | relaxed

Cell lengths 3.356, 3.356, 13.421 Å; angles 90.00, 90.00, 90.00 degrees
Space group P4/nmm (No. 129, origin choice 2)
Asymmetric unit:
Rb: 0.250 0.250 0.175
Mn: 0.250 0.750 0.500
Pd: 0.250 0.250 0.647

Properties
Spin magnetization ... 0.000 μB per atom

Model three:
RbMnPd | PBE-GGA | relaxed

Cell lengths 12.130, 4.691, 7.378 Å; angles 90.00, 90.00, 90.00 degrees
Space group Pnma (No. 62)
Asymmetric unit:
Rb: 0.181 0.250 0.053
Mn: 0.025 0.250 0.597
Pd: 0.058 0.750 0.721

Properties
Spin magnetization ... 1.565 μB per atom

Which structure loses on stability? model two does.

Model one:
RbMn2Pd | PBE-GGA | relaxed

Cell lengths 7.001, 7.001, 7.001 Å; angles 90.00, 90.00, 90.00 degrees
Space group Fm-3m (No. 225)
Asymmetric unit:
Rb: 0.000 0.000 0.000
Mn: 0.250 0.250 0.250
Pd: 0.000 0.000 0.500

Properties
Spin magnetization ... 2.176 μB per atom

Model two:
RbMn2Pd | PBE-GGA | relaxed

Cell lengths 5.493, 5.493, 17.123 Å; angles 90.00, 90.00, 90.00 degrees
Space group I4_1/amd (No. 141, origin choice 2)
Asymmetric unit:
Rb: 0.000 0.250 0.375
Mn: 0.000 0.000 0.000
Pd: 0.000 0.250 0.875

Properties
Spin magnetization ... 2.220 μB per atom

Which structure loses on stability? model one does.

Model one:
MnRe2Pd2 | PBE-GGA | relaxed

Cell lengths 7.573, 7.573, 2.685 Å; angles 90.00, 90.00, 90.00 degrees
Space group P4/mbm (No. 127)
Asymmetric unit:
Mn: 0.000 0.000 0.000
Re: 0.177 0.323 0.500
Pd: 0.122 0.622 0.000

Properties
Spin magnetization ... 0.016 μB per atom

Model two:
MnRe2Pd2 | PBE-GGA | relaxed

Cell lengths 3.527, 3.527, 13.198 Å; angles 90.00, 90.00, 90.00 degrees
Space group I4/mmm (No. 139)
Asymmetric unit:
Mn: 0.000 0.000 0.000
Re: 0.000 0.500 0.250
Pd: 0.000 0.000 0.405

Properties
Spin magnetization ... 0.022 μB per atom

Which structure loses on stability? model two does.

Model one:
Mn2Pd2Rh | PBE-GGA | relaxed

Cell lengths 4.311, 4.329, 5.180 Å; angles 65.98, 65.70, 60.35 degrees
Space group P-1 (No. 2)
Asymmetric unit:
Mn: 0.101 0.102 0.198
Pd: 0.291 0.291 0.625
Rh: 0.500 0.500 0.000

Properties
Spin magnetization ... 1.723 μB per atom

Model two:
Mn2Pd2Rh | PBE-GGA | relaxed

Cell lengths 3.077, 3.077, 15.120 Å; angles 90.00, 90.00, 90.00 degrees
Space group I4/mmm (No. 139)
Asymmetric unit:
Mn: 0.000 0.500 0.250
Pd: 0.000 0.000 0.111
Rh: 0.000 0.000 0.500

Properties
Spin magnetization ... 0.000 μB per atom

Model three:
Mn2Pd2Rh | PBE-GGA | relaxed

Cell lengths 7.178, 7.178, 2.688 Å; angles 90.00, 90.00, 90.00 degrees
Space group P4/mbm (No. 127)
Asymmetric unit:
Mn: 0.171 0.329 0.000
Pd: 0.128 0.628 0.500
Rh: 0.000 0.000 0.500

Properties
Spin magnetization ... 0.000 μB per atom

Which structure loses on stability? model three does.

Model one:
Mn2PdRu2 | PBE-GGA | relaxed

Cell lengths 7.143, 7.143, 2.715 Å; angles 90.00, 90.00, 90.00 degrees
Space group P4/mbm (No. 127)
Asymmetric unit:
Mn: 0.166 0.334 0.000
Pd: 0.000 0.000 0.500
Ru: 0.130 0.630 0.500

Properties
Spin magnetization ... 0.590 μB per atom

Model two:
Mn2PdRu2 | PBE-GGA | relaxed

Cell lengths 3.852, 3.852, 9.656 Å; angles 90.00, 90.00, 90.00 degrees
Space group I4/mmm (No. 139)
Asymmetric unit:
Mn: 0.000 0.000 0.105
Pd: 0.000 0.000 0.500
Ru: 0.000 0.500 0.250

Properties
Spin magnetization ... 0.000 μB per atom

Which structure loses on stability? model two does.

Model one:
MnPdS | PBE-GGA | relaxed

Cell lengths 3.185, 3.185, 8.906 Å; angles 90.00, 90.00, 90.00 degrees
Space group I4mm (No. 107)
Asymmetric unit:
Mn: 0.000 0.000 0.000
Pd: 0.000 0.000 0.310
S: 0.000 0.000 0.590

Properties
Spin magnetization ... 1.228 μB per atom

Model two:
MnPdS | PBE-GGA | relaxed

Cell lengths 9.273, 3.248, 8.373 Å; angles 90.00, 109.72, 90.00 degrees
Space group C2/m (No. 12)
Asymmetric unit:
Mn: 0.130 0.000 0.169
Pd: 0.124 0.500 0.918
S: 0.097 0.500 0.337

Properties
Spin magnetization ... 1.109 μB per atom

Which structure loses on stability? model one does.